# 1
## Li2PrCrN4 (PBE)

Data for a relaxed Li2PrCrN4 crystal.

Output
total DFT energy (no corrections): -7.06 eV/atom
mass density: 4555 kg/m³
formation energy (no corrections): -616 meV/atom
DOS at the Fermi energy: 0.465 states/eV per atom
crystal system: tetragonal

The structure in extended XYZ format:
```
8
Lattice="-2.687 2.687 3.317 2.687 -2.687 3.317 2.687 2.687 -3.317" Properties=species:S:1:pos:R:3 pbc="T T T"
Li 2.687 0.000 1.658
Li 0.000 2.687 1.658
Pr 0.000 0.000 0.000
Cr 0.000 0.000 3.317
N 1.675 1.675 -0.997
N 1.012 -1.012 4.314
N 1.012 1.012 2.320
N -1.012 1.012 4.314
```

# 2
## SrCaAs2 (PBE)

Data for a relaxed SrCaAs2 crystal.

Output
energy relative to the lowest polymorph listed for this composition: 0.602 eV/f.u.
formation energy: -0.8207 eV per atom
total DFT energy (no corrections): -4.07 eV/atom
mass density: 4076 kg/m³
DOS at the Fermi energy: 0.745 states/eV per atom
crystal system: orthorhombic

The structure in extended XYZ format:
```
4
Lattice="3.580 0.000 0.000 0.000 5.085 0.000 0.000 0.000 6.210" Properties=species:S:1:pos:R:3 pbc="T T T"
Sr 0.000 0.000 0.000
Ca 1.790 2.543 3.105
As 0.000 0.000 3.105
As 1.790 2.543 0.000
```

# 3
## Li13Mn6As8 (PBE)

Data for a relaxed Li13Mn6As8 crystal.

Output
formation energy: -0.4180 eV per atom
total DFT energy (no corrections): -4.75 eV/atom
mass density: 3802 kg/m³
DOS at the Fermi energy: 0.471 states/eV per atom
crystal system: monoclinic

The structure in extended XYZ format:
```
27
Lattice="8.580 0.000 0.000 0.000 6.037 0.000 -0.133 0.000 8.595" Properties=species:S:1:pos:R:3 pbc="T T T"
Li 0.000 0.000 0.000
Li 0.149 1.505 6.395
Li 0.149 4.532 6.395
Li 2.275 1.649 0.071
Li 2.275 4.387 0.071
Li 4.406 1.579 2.325
Li 4.406 4.458 2.325
Li 4.509 0.000 0.148
Li 6.550 1.637 0.257
Li 6.550 4.400 0.257
Li 6.502 1.417 4.323
Li 6.502 4.620 4.323
Li 6.527 3.018 6.630
Mn 0.111 1.540 2.267
Mn 0.111 4.497 2.267
Mn 2.230 1.488 4.359
Mn 2.230 4.549 4.359
Mn 4.270 1.482 6.455
Mn 4.270 4.555 6.455
As 0.098 3.018 0.075
As 0.139 3.018 4.336
As 2.216 0.000 2.231
As 2.219 0.000 6.481
As 4.294 3.018 4.460
As 4.315 3.018 8.550
As 6.418 0.000 6.644
As 6.599 0.000 2.167
```

# 4
## SrAg2GeS4 (PBE)

Data for a relaxed SrAg2GeS4 crystal.

Output
total DFT energy (no corrections): -4.27 eV/atom
mass density: 4178 kg/m³
formation energy (no corrections): -708 meV/atom
crystal system: orthorhombic

The structure in extended XYZ format:
```
16
Lattice="9.149 0.000 0.000 0.000 6.690 0.000 0.000 0.000 6.549" Properties=species:S:1:pos:R:3 pbc="T T T"
Sr 0.000 1.354 0.000
Sr 4.575 5.335 3.275
Ag 2.265 1.987 3.469
Ag 2.309 4.703 0.195
Ag 6.840 4.703 0.195
Ag 6.884 1.987 3.469
Ge 0.000 5.408 3.518
Ge 4.575 1.282 0.243
S 0.000 0.916 3.007
S 0.000 5.182 5.759
S 1.838 4.448 2.704
S 2.736 2.241 5.978
S 4.575 1.507 2.484
S 4.575 5.774 6.282
S 6.413 2.241 5.978
S 7.311 4.448 2.704
```

# 5
## SmCd3Rh (PBE)

Data for a relaxed SmCd3Rh crystal.

Output
energy relative to the lowest polymorph listed for this composition: 0.000 eV/f.u.
formation energy: -0.3791 eV per atom
total DFT energy (no corrections): -3.34 eV/atom
mass density: 8836 kg/m³
DOS at the Fermi energy: 0.394 states/eV per atom
crystal system: monoclinic

The structure in extended XYZ format:
```
10
Lattice="5.417 0.000 0.000 0.000 5.811 0.000 -0.267 0.000 7.051" Properties=species:S:1:pos:R:3 pbc="T T T"
Sm 0.681 1.453 2.762
Sm 4.470 4.358 4.289
Cd 0.500 4.358 0.759
Cd 1.812 0.015 5.674
Cd 1.812 2.890 5.674
Cd 3.338 2.921 1.377
Cd 3.338 5.796 1.377
Cd 4.650 1.453 6.293
Rh 1.715 4.358 3.278
Rh 3.435 1.453 3.773
```

# 6
## TbCeGaRu (PBE)

Data for a relaxed TbCeGaRu crystal.

Output
energy relative to the lowest polymorph listed for this composition: 0.078 eV/f.u.
formation energy: -0.3719 eV per atom
total DFT energy (no corrections): -6.09 eV/atom
mass density: 8901 kg/m³
DOS at the Fermi energy: 1.232 states/eV per atom
crystal system: cubic

The structure in extended XYZ format:
```
4
Lattice="0.000 3.526 3.526 3.526 0.000 3.526 3.526 3.526 0.000" Properties=species:S:1:pos:R:3 pbc="T T T"
Tb 0.000 0.000 0.000
Ce 3.526 3.526 3.526
Ga 1.763 1.763 1.763
Ru 5.289 5.289 5.289
```

# 7
## BeHgS2 (PBE)

Data for a relaxed BeHgS2 crystal.

Output
energy relative to the lowest polymorph listed for this composition: 0.288 eV/f.u.
total DFT energy (no corrections): -3.56 eV/atom
mass density: 5744 kg/m³
formation energy (no corrections): -485 meV/atom
DOS at the Fermi energy: 0.000 states/eV per atom
crystal system: monoclinic

The structure in extended XYZ format:
```
8
Lattice="3.721 0.000 0.000 0.000 6.150 0.000 -0.003 0.000 6.916" Properties=species:S:1:pos:R:3 pbc="T T T"
Be 0.930 0.000 0.533
Be 2.789 3.075 6.384
Hg 0.934 3.096 2.668
Hg 2.785 0.021 4.249
S 0.920 0.542 2.538
S 0.931 3.968 0.288
S 2.787 0.893 6.628
S 2.799 3.617 4.378
```

# 8
## Tb4NdTmSe8 (PBE)

Data for a relaxed Tb4NdTmSe8 crystal.

Output
total DFT energy (no corrections): -5.69 eV/atom
mass density: 6104 kg/m³
formation energy (no corrections): -1715 meV/atom
DOS at the Fermi energy: 0.626 states/eV per atom
crystal system: trigonal

The structure in extended XYZ format:
```
14
Lattice="4.243 2.449 6.895 -4.243 2.449 6.895 0.000 -4.899 6.895" Properties=species:S:1:pos:R:3 pbc="T T T"
Tb 0.000 0.000 0.000
Tb 0.000 -2.463 11.229
Tb -2.133 1.232 11.229
Tb 2.133 1.232 11.229
Nd 0.000 0.000 15.557
Tm 0.000 0.000 7.768
Se 0.000 0.000 2.738
Se 0.000 -2.280 6.040
Se -1.975 1.140 6.040
Se -1.922 -1.110 9.541
Se 1.975 1.140 6.040
Se 1.922 -1.110 9.541
Se 0.000 2.220 9.541
Se 0.000 0.000 12.750
```